## Ba8Rh3Br4O (PBE)

Data for Ba8Rh3Br4O after structural relaxation.

Unit cell a=8.9018 b=8.9018 c=24.4426 alpha=90.00 beta=90.00 gamma=120.00
Space group R-3m (No. 166, hexagonal axes)
Unique sites:
Ba 0.0000 0.0000 0.2404 (multiplicity 6)
Ba 0.0130 0.5065 0.2320 (multiplicity 18)
Rh 0.0000 0.5000 0.5000 (multiplicity 9)
Br 0.0000 0.0000 0.0000 (multiplicity 3)
Br 0.0000 0.5000 0.0000 (multiplicity 9)
O 0.0000 0.0000 0.5000 (multiplicity 3)

Properties
V in Å³/cell: 1677.3
M_tot in μB/f.u.: 0.0
DOS(E_F) in states/eV/atom: 0.210
Formation energy from raw total energies in eV/atom: -1.21